First-principles (PBE-GGA) data for a geometry-optimized NiP2PbBr structure, as listed in the Alexandria database.

Properties
- DFT total energy: -14.717 eV per formula unit
- Formation energy without anion corrections: 1.45 eV per atom
- M_tot: 2.56 μB per cell

a = 5.2428 Å, b = 5.2428 Å, c = 5.7287 Å
α = 90.00°, β = 90.00°, γ = 90.00°
Space group P4/mmm (No. 123)
One atom of each set of equivalent atoms:
1 Ni 0.0000 0.0000 0.0000 (multiplicity 1)
2 P 0.0000 0.5000 0.5000 (multiplicity 2)
3 Pb 0.5000 0.5000 0.5000 (multiplicity 1)
4 Br 0.5000 0.5000 0.0000 (multiplicity 1)

***

First-principles (PBE-GGA) data for a geometry-optimized NiP2PbBr structure, as listed in the Alexandria database.

Properties
- DFT total energy: -16.868 eV per formula unit
- Formation energy without anion corrections: 1.02 eV per atom
- M_tot: 0.00 μB per cell

a = 5.1210 Å, b = 5.1210 Å, c = 4.3497 Å
α = 90.00°, β = 90.00°, γ = 90.00°
Space group P4/mmm (No. 123)
One atom of each set of equivalent atoms:
1 Ni 0.0000 0.0000 0.0000 (multiplicity 1)
2 P 0.0000 0.5000 0.5000 (multiplicity 2)
3 Pb 0.5000 0.5000 0.0000 (multiplicity 1)
4 Br 0.0000 0.0000 0.5000 (multiplicity 1)

***

First-principles (PBE-GGA) data for a geometry-optimized Pr4NiPBr2 structure, as listed in the Alexandria database.

Properties
- DFT total energy: -42.584 eV per formula unit
- Formation energy without anion corrections: -1.12 eV per atom
- M_tot: 0.00 μB per cell

a = 7.4622 Å, b = 4.0564 Å, c = 7.7819 Å
α = 90.00°, β = 107.12°, γ = 90.00°
Space group P2/m (No. 10)
One atom of each set of equivalent atoms:
1 Pr 0.2184 0.0000 0.1991 (multiplicity 2)
2 Pr 0.2675 0.5000 0.7905 (multiplicity 2)
3 Ni 0.0000 0.5000 0.0000 (multiplicity 1)
4 P 0.5000 0.0000 0.0000 (multiplicity 1)
5 Br 0.0000 0.0000 0.5000 (multiplicity 1)
6 Br 0.5000 0.5000 0.5000 (multiplicity 1)

***

First-principles (PBE-GGA) data for a geometry-optimized Pr8Ni3PBr4 structure, as listed in the Alexandria database.

Properties
- DFT total energy: -82.652 eV per formula unit
- Formation energy without anion corrections: -0.94 eV per atom
- M_tot: 0.00 μB per cell

a = 8.2901 Å, b = 8.2901 Å, c = 22.8727 Å
α = 90.00°, β = 90.00°, γ = 120.00°
Space group R-3m (No. 166, hexagonal axes)
One atom of each set of equivalent atoms:
1 Pr 0.0000 0.0000 0.2308 (multiplicity 6)
2 Pr 0.0055 0.5027 0.7656 (multiplicity 18)
3 Ni 0.0000 0.5000 0.5000 (multiplicity 9)
4 P 0.0000 0.0000 0.5000 (multiplicity 3)
5 Br 0.0000 0.0000 0.0000 (multiplicity 3)
6 Br 0.0000 0.5000 0.0000 (multiplicity 9)

***

First-principles (PBE-GGA) data for a geometry-optimized NiPSe2Br structure, as listed in the Alexandria database.

Properties
- DFT total energy: -15.756 eV per formula unit
- Formation energy without anion corrections: 0.82 eV per atom
- M_tot: 1.58 μB per cell

a = 4.8806 Å, b = 4.8806 Å, c = 4.9229 Å
α = 90.00°, β = 90.00°, γ = 90.00°
Space group P4/mmm (No. 123)
One atom of each set of equivalent atoms:
1 Ni 0.0000 0.0000 0.0000 (multiplicity 1)
2 P 0.5000 0.5000 0.5000 (multiplicity 1)
3 Se 0.0000 0.5000 0.5000 (multiplicity 2)
4 Br 0.5000 0.5000 0.0000 (multiplicity 1)

***

First-principles (PBE-GGA) data for a geometry-optimized NiPSeBr2 structure, as listed in the Alexandria database.

Properties
- DFT total energy: -14.433 eV per formula unit
- Formation energy without anion corrections: 0.72 eV per atom
- M_tot: 1.40 μB per cell

a = 5.0091 Å, b = 5.0091 Å, c = 4.9982 Å
α = 90.00°, β = 90.00°, γ = 90.00°
Space group P4/mmm (No. 123)
One atom of each set of equivalent atoms:
1 Ni 0.0000 0.0000 0.0000 (multiplicity 1)
2 P 0.5000 0.5000 0.5000 (multiplicity 1)
3 Se 0.5000 0.5000 0.0000 (multiplicity 1)
4 Br 0.0000 0.5000 0.5000 (multiplicity 2)

***

First-principles (PBE-GGA) data for a geometry-optimized NiPSeBr2 structure, as listed in the Alexandria database.

Properties
- DFT total energy: -15.154 eV per formula unit
- Formation energy without anion corrections: 0.57 eV per atom
- M_tot: 0.00 μB per cell

a = 4.7341 Å, b = 4.7341 Å, c = 4.8567 Å
α = 90.00°, β = 90.00°, γ = 90.00°
Space group P4/mmm (No. 123)
One atom of each set of equivalent atoms:
1 Ni 0.0000 0.0000 0.0000 (multiplicity 1)
2 P 0.5000 0.5000 0.5000 (multiplicity 1)
3 Se 0.0000 0.0000 0.5000 (multiplicity 1)
4 Br 0.0000 0.5000 0.0000 (multiplicity 2)

***

First-principles (PBE-GGA) data for a geometry-optimized NiPSe2Br structure, as listed in the Alexandria database.

Properties
- DFT total energy: -16.722 eV per formula unit
- Formation energy without anion corrections: 0.62 eV per atom
- M_tot: 0.00 μB per cell

a = 4.6891 Å, b = 4.6891 Å, c = 4.7521 Å
α = 90.00°, β = 90.00°, γ = 90.00°
Space group P4/mmm (No. 123)
One atom of each set of equivalent atoms:
1 Ni 0.0000 0.0000 0.0000 (multiplicity 1)
2 P 0.5000 0.5000 0.5000 (multiplicity 1)
3 Se 0.0000 0.5000 0.0000 (multiplicity 2)
4 Br 0.0000 0.0000 0.5000 (multiplicity 1)